Entry 1:
DFT (PBE) results for Sr2PuZn3Pt4 after structural relaxation.

- Volume: 216.6 Å³ per cell
- Raw total energy: -5.226 eV per atom

Lattice parameters (Å, degrees): 4.370 4.370 11.342 90.00 90.00 90.00
Fractional positions:
Sr (0.000, 0.500, 0.225)
Sr (0.500, 0.000, 0.775)
Pu (0.000, 0.000, 0.500)
Zn (0.000, 0.500, 0.880)
Zn (0.500, 0.000, 0.120)
Zn (0.500, 0.500, 0.500)
Pt (0.000, 0.000, 0.000)
Pt (0.000, 0.500, 0.653)
Pt (0.500, 0.000, 0.347)
Pt (0.500, 0.500, 0.000)



Entry 2:
DFT (PBE) results for PuTaPt after structural relaxation.

- Volume: 58.1 Å³ per cell
- Raw total energy: -10.809 eV per atom

Lattice parameters (Å, degrees): 4.856 4.856 2.844 90.00 90.00 120.00
Fractional positions:
Pu (0.000, 0.000, 0.000)
Ta (0.333, 0.667, 0.500)
Pt (0.667, 0.333, 0.500)



Entry 3:
DFT (PBE) results for PuTaPt after structural relaxation.

- Volume: 120.5 Å³ per cell
- Raw total energy: -11.119 eV per atom

Lattice parameters (Å, degrees): 8.024 8.024 4.623 90.00 90.00 156.12
Fractional positions:
Pu (0.067, 0.933, 0.750)
Pu (0.933, 0.067, 0.250)
Ta (0.250, 0.750, 0.250)
Ta (0.750, 0.250, 0.750)
Pt (0.385, 0.615, 0.750)
Pt (0.615, 0.385, 0.250)



Entry 4:
DFT (PBE) results for PuTaPt6 after structural relaxation.

- Volume: 136.4 Å³ per cell
- Raw total energy: -8.481 eV per atom

Lattice parameters (Å, degrees): 4.075 4.075 8.215 90.00 90.00 90.00
Fractional positions:
Pu (0.000, 0.000, 0.000)
Ta (0.000, 0.000, 0.500)
Pt (0.000, 0.500, 0.269)
Pt (0.000, 0.500, 0.731)
Pt (0.500, 0.000, 0.269)
Pt (0.500, 0.000, 0.731)
Pt (0.500, 0.500, 0.000)
Pt (0.500, 0.500, 0.500)



Entry 5:
DFT (PBE) results for PuTaPt2 after structural relaxation.

- Volume: 76.9 Å³ per cell
- Raw total energy: -9.899 eV per atom

Lattice parameters (Å, degrees): 4.773 4.773 4.773 60.00 60.00 60.00
Fractional positions:
Pu (0.000, 0.000, 0.000)
Ta (0.500, 0.500, 0.500)
Pt (0.250, 0.250, 0.250)
Pt (0.750, 0.750, 0.750)



Entry 6:
DFT (PBE) results for PuTaPt2 after structural relaxation.

- Volume: 73.0 Å³ per cell
- Raw total energy: -10.158 eV per atom

Lattice parameters (Å, degrees): 2.933 2.933 8.484 90.00 90.00 90.00
Fractional positions:
Pu (0.000, 0.000, 0.000)
Ta (0.000, 0.000, 0.500)
Pt (0.500, 0.500, 0.276)
Pt (0.500, 0.500, 0.724)



Entry 7:
DFT (PBE) results for TbPuPt after structural relaxation.

- Volume: 82.0 Å³ per cell
- Raw total energy: -8.923 eV per atom

Lattice parameters (Å, degrees): 4.876 4.876 4.876 60.00 60.00 60.00
Fractional positions:
Tb (0.000, 0.000, 0.000)
Pu (0.500, 0.500, 0.500)
Pt (0.750, 0.750, 0.750)



Entry 8:
DFT (PBE) results for Tb2PuPt after structural relaxation.

- Volume: 104.6 Å³ per cell
- Raw total energy: -7.913 eV per atom

Lattice parameters (Å, degrees): 3.540 3.540 8.350 90.00 90.00 90.00
Fractional positions:
Tb (0.000, 0.000, 0.200)
Tb (0.000, 0.000, 0.800)
Pu (0.500, 0.500, 0.500)
Pt (0.500, 0.500, 0.000)



Entry 9:
DFT (PBE) results for TbPuPt after structural relaxation.

- Volume: 73.3 Å³ per cell
- Raw total energy: -8.790 eV per atom

Lattice parameters (Å, degrees): 4.712 4.712 3.810 90.00 90.00 120.00
Fractional positions:
Tb (0.000, 0.000, 0.000)
Pu (0.667, 0.333, 0.435)
Pt (0.333, 0.667, 0.706)



Entry 10:
DFT (PBE) results for TbPuPt after structural relaxation.

- Volume: 83.3 Å³ per cell
- Raw total energy: -8.781 eV per atom

Lattice parameters (Å, degrees): 6.951 6.951 6.951 31.89 31.89 31.89
Fractional positions:
Tb (0.000, 0.000, 0.000)
Pu (0.185, 0.185, 0.185)
Pt (0.424, 0.424, 0.424)



Entry 11:
DFT (PBE) results for Tb2PuPt after structural relaxation.

- Volume: 115.9 Å³ per cell
- Raw total energy: -7.783 eV per atom

Lattice parameters (Å, degrees): 9.639 9.639 9.639 22.59 22.59 22.59
Fractional positions:
Tb (0.230, 0.230, 0.230)
Tb (0.770, 0.770, 0.770)
Pu (0.000, 0.000, 0.000)
Pt (0.500, 0.500, 0.500)



Entry 12:
DFT (PBE) results for TbPu5Pt6 after structural relaxation.

- Volume: 259.4 Å³ per cell
- Raw total energy: -10.184 eV per atom

Lattice parameters (Å, degrees): 8.601 8.601 4.956 106.68 106.68 48.18
Fractional positions:
Tb (0.000, 0.000, 0.000)
Pu (0.174, 0.174, 0.674)
Pu (0.337, 0.337, 0.337)
Pu (0.500, 0.500, 0.000)
Pu (0.663, 0.663, 0.663)
Pu (0.826, 0.826, 0.326)
Pt (0.080, 0.593, 0.835)
Pt (0.234, 0.766, 0.500)
Pt (0.407, 0.920, 0.165)
Pt (0.593, 0.080, 0.835)
Pt (0.766, 0.234, 0.500)
Pt (0.920, 0.407, 0.165)